The following is a DFT calculation (PBE) of an optimized crystal structure of DyCuPd.

```
DyCuPd
1.0
4.2853 0.0000 0.0000
-2.1426 4.8484 0.0000
0.0000 0.0000 5.4599
Dy Pd Cu
2 2 2
direct
0.2036 0.4072 0.7500 Dy
0.7964 0.5928 0.2500 Dy
0.9071 0.8142 0.7500 Pd
0.0929 0.1858 0.2500 Pd
0.5000 0.0000 0.0000 Cu
0.5000 0.0000 0.5000 Cu
```

## Properties
- DFT formation energy (eV per atom) = -0.603
- polymorph energy (0 for the lowest one) (eV/atom) = 0.018